# K2Nd2PaSe6

A relaxed K2Nd2PaSe6 crystal (PBE, Alexandria). Values from VASP.

Results
Formation energy (no corrections) (eV/atom): -1.65
Symmetry: C2/m
Total moment (μB per atom): 0.098

```
&SYSTEM
  ibrav = 0, nat = 11, ntyp = 4
/
ATOMIC_SPECIES
K 39.10 K.upf
Nd 144.24 Nd.upf
Pa 231.04 Pa.upf
Se 78.96 Se.upf
ATOMIC_POSITIONS crystal
K 0.1695 0.8305 0.0000
K 0.8305 0.1695 0.0000
Nd 0.3338 0.6662 0.5000
Nd 0.6662 0.3338 0.5000
Pa 0.0000 0.0000 0.5000
Se 0.0680 0.3911 0.7044
Se 0.2504 0.2504 0.2962
Se 0.3911 0.0680 0.7044
Se 0.6089 0.9320 0.2956
Se 0.7496 0.7496 0.7038
Se 0.9320 0.6089 0.2956
CELL_PARAMETERS angstrom
3.7214 -6.3999 0.0000
3.7214 6.3999 0.0000
-2.5132 0.0000 7.8440
```